No. 1
Entry from Alexandria: ErPuHgAu after structural relaxation (PBE).

calculated volume	98.1	Å³/cell
crystal system	tetragonal
ΔE_f	-0.469	eV per atom
symmetry	P4mm (99)

abc: 3.549 3.549 7.793
angles: 90.00 90.00 90.00
Each line ends with the local moment (μB).
Element x y z (fractional)
Er 0.500 0.500 0.587  0.04
Pu 0.500 0.500 0.119  5.51
Hg 0.000 0.000 0.842  0.02
Au 0.000 0.000 0.380  0.01

=====

No. 2
Entry from Alexandria: Er4HgRhAu2 after structural relaxation (PBE).

calculated volume	179.7	Å³/cell
crystal system	trigonal
ΔE_f	-0.787	eV per atom
symmetry	R-3m (166)

abc: 5.036 5.036 8.685
angles: 73.15 73.15 60.00
Element x y z (fractional)
Er 0.382 0.382 0.853
Er 0.869 0.869 0.392
Er 0.131 0.131 0.608
Er 0.618 0.618 0.147
Hg 0.000 0.000 0.000
Rh 0.500 0.500 0.500
Au 0.745 0.745 0.766
Au 0.255 0.255 0.234

=====

No. 3
Entry from Alexandria: Er4HgRh2Au after structural relaxation (PBE).

calculated volume	173.3	Å³/cell
crystal system	trigonal
ΔE_f	-0.755	eV per atom
symmetry	R-3m (166)

abc: 4.970 4.970 8.597
angles: 73.20 73.20 60.00
Element x y z (fractional)
Er 0.377 0.377 0.868
Er 0.873 0.873 0.382
Er 0.127 0.127 0.618
Er 0.623 0.623 0.132
Hg 0.000 0.000 0.000
Rh 0.750 0.750 0.751
Rh 0.250 0.250 0.249
Au 0.500 0.500 0.500

=====

No. 4
Entry from Alexandria: Er4HgRuAu2 after structural relaxation (PBE).

calculated volume	179.1	Å³/cell
crystal system	trigonal
ΔE_f	-0.665	eV per atom
symmetry	R-3m (166)

abc: 5.030 5.030 8.673
angles: 73.14 73.14 60.00
Element x y z (fractional)
Er 0.383 0.383 0.851
Er 0.869 0.869 0.394
Er 0.131 0.131 0.606
Er 0.617 0.617 0.149
Hg 0.000 0.000 0.000
Ru 0.500 0.500 0.500
Au 0.746 0.746 0.762
Au 0.254 0.254 0.238

=====

No. 5
Entry from Alexandria: ErScHgAu after structural relaxation (PBE).

calculated volume	89.6	Å³/cell
crystal system	cubic
ΔE_f	-0.626	eV per atom
symmetry	F-43m (216)

abc: 5.022 5.022 5.022
angles: 60.00 60.00 60.00
Element x y z (fractional)
Sc 0.250 0.250 0.250
Au 0.000 0.000 0.000
Hg 0.500 0.500 0.500
Er 0.750 0.750 0.750

=====

No. 6
Entry from Alexandria: ErScHgAu after structural relaxation (PBE).

calculated volume	89.3	Å³/cell
crystal system	tetragonal
ΔE_f	-0.643	eV per atom
symmetry	P4mm (99)

abc: 3.566 3.566 7.021
angles: 90.00 90.00 90.00
Element x y z (fractional)
Er 0.500 0.500 0.596
Sc 0.500 0.500 0.118
Hg 0.000 0.000 0.874
Au 0.000 0.000 0.340